# 1
# Pu8GaSi3

A geometry-optimized Pu8GaSi3 structure (GGA-PBE, the Alexandria database).

CIF file:
```
data_Pu8GaSi3
_symmetry_space_group_name_H-M 'C 1 2/m 1'
_symmetry_Int_Tables_number 12
_symmetry_space_group_name_Hall '-C 2y'
_cell_length_a 10.0922
_cell_length_b 10.5324
_cell_length_c 5.3082
_cell_angle_alpha 90.00
_cell_angle_beta 117.56
_cell_angle_gamma 90.00
loop_
_atom_site_label
_atom_site_type_symbol
_atom_site_fract_x
_atom_site_fract_y
_atom_site_fract_z
Pu1 Pu 0.1645 0.0000 0.1369
Pu2 Pu 0.1642 0.2434 0.6571
Pu3 Pu 0.1755 0.5000 0.1399
Ga1 Ga 0.0000 0.5000 0.5000
Si1 Si 0.0000 0.0000 0.5000
Si2 Si 0.0000 0.2513 0.0000
```

## Properties
- ΔE_f (raw): -0.267 eV per atom
- Calculated total energy: -274.3 eV/cell
- Total magnetic moment: 41.66 Bohr magnetons per cell



# 2
# Rb6CdO4

A geometry-optimized Rb6CdO4 structure (GGA-PBE, the Alexandria database).

CIF file:
```
data_Rb6CdO4
_symmetry_space_group_name_H-M 'P 63 m c'
_symmetry_Int_Tables_number 186
_symmetry_space_group_name_Hall 'P 6c -2c'
_cell_length_a 9.2732
_cell_length_b 9.2732
_cell_length_c 7.0258
_cell_angle_alpha 90.00
_cell_angle_beta 90.00
_cell_angle_gamma 120.00
loop_
_atom_site_label
_atom_site_type_symbol
_atom_site_fract_x
_atom_site_fract_y
_atom_site_fract_z
Rb1 Rb 0.0777 0.5388 0.0000
Rb2 Rb 0.1437 0.2875 0.6621
Cd1 Cd 0.3333 0.6667 0.3934
O1 O 0.1970 0.3940 0.2828
O2 O 0.3333 0.6667 0.7134
```

## Properties
- ΔE_f (raw): -1.011 eV per atom
- Calculated total energy: -75.4 eV/cell
- Total magnetic moment: 0.12 Bohr magnetons per cell



# 3
# Dy2PdBr

A geometry-optimized Dy2PdBr structure (GGA-PBE, the Alexandria database).

CIF file:
```
data_Dy2PdBr
_symmetry_space_group_name_H-M 'R -3 m'
_symmetry_Int_Tables_number 166
_symmetry_space_group_name_Hall '-R 3 2"'
_cell_length_a 4.0719
_cell_length_b 4.0719
_cell_length_c 22.7214
_cell_angle_alpha 90.00
_cell_angle_beta 90.00
_cell_angle_gamma 120.00
loop_
_atom_site_label
_atom_site_type_symbol
_atom_site_fract_x
_atom_site_fract_y
_atom_site_fract_z
Dy1 Dy 0.0000 0.0000 0.2330
Pd1 Pd 0.0000 0.0000 0.5000
Br1 Br 0.0000 0.0000 0.0000
```

## Properties
- ΔE_f (raw): -0.993 eV per atom
- Calculated total energy: -60.1 eV/cell
- Total magnetic moment: 0.00 Bohr magnetons per cell
- Energy relative to the lowest polymorph listed for this composition: 0.00 eV per formula unit



# 4
# MgTlBi2Sb

A geometry-optimized MgTlBi2Sb structure (GGA-PBE, the Alexandria database).

CIF file:
```
data_MgTlBi2Sb
_symmetry_space_group_name_H-M 'P 4/m m m'
_symmetry_Int_Tables_number 123
_symmetry_space_group_name_Hall '-P 4 2'
_cell_length_a 5.6296
_cell_length_b 5.6296
_cell_length_c 5.4608
_cell_angle_alpha 90.00
_cell_angle_beta 90.00
_cell_angle_gamma 90.00
loop_
_atom_site_label
_atom_site_type_symbol
_atom_site_fract_x
_atom_site_fract_y
_atom_site_fract_z
Mg1 Mg 0.0000 0.0000 0.0000
Tl1 Tl 0.5000 0.5000 0.5000
Bi1 Bi 0.0000 0.5000 0.0000
Sb1 Sb 0.0000 0.0000 0.5000
```

## Properties
- ΔE_f (raw): 0.350 eV per atom
- Calculated total energy: -14.1 eV/cell
- Total magnetic moment: 0.00 Bohr magnetons per cell



# 5
# Mg2Zn4Se

A geometry-optimized Mg2Zn4Se structure (GGA-PBE, the Alexandria database).

CIF file:
```
data_Mg2Zn4Se
_symmetry_space_group_name_H-M 'I 4/m m m'
_symmetry_Int_Tables_number 139
_symmetry_space_group_name_Hall '-I 4 2'
_cell_length_a 6.5457
_cell_length_b 6.5457
_cell_length_c 6.2878
_cell_angle_alpha 90.00
_cell_angle_beta 90.00
_cell_angle_gamma 90.00
loop_
_atom_site_label
_atom_site_type_symbol
_atom_site_fract_x
_atom_site_fract_y
_atom_site_fract_z
Mg1 Mg 0.0000 0.5000 0.2500
Zn1 Zn 0.1968 0.1968 0.0000
Se1 Se 0.0000 0.0000 0.5000
```

## Properties
- ΔE_f (raw): 0.007 eV per atom
- Calculated total energy: -23.4 eV/cell
- Total magnetic moment: 0.00 Bohr magnetons per cell
- Energy relative to the lowest polymorph listed for this composition: 1.61 eV per formula unit



# 6
# PmGdP

A geometry-optimized PmGdP structure (GGA-PBE, the Alexandria database).

CIF file:
```
data_PmGdP
_symmetry_space_group_name_H-M 'P 3 m 1'
_symmetry_Int_Tables_number 156
_symmetry_space_group_name_Hall 'P 3 -2"'
_cell_length_a 3.9495
_cell_length_b 3.9495
_cell_length_c 6.5329
_cell_angle_alpha 90.00
_cell_angle_beta 90.00
_cell_angle_gamma 120.00
loop_
_atom_site_label
_atom_site_type_symbol
_atom_site_fract_x
_atom_site_fract_y
_atom_site_fract_z
Pm1 Pm 0.0000 0.0000 0.0000
Gd1 Gd 0.6667 0.3333 0.5001
P1 P 0.3333 0.6667 0.2572
```

## Properties
- Calculated total energy: -27.1 eV/cell
- Total magnetic moment: 8.12 Bohr magnetons per cell
- DFT formation energy: -969 meV/atom
- Energy relative to the lowest polymorph listed for this composition: 0.00 eV per formula unit



# 7
# Ac3In2Si2Pd4

A geometry-optimized Ac3In2Si2Pd4 structure (GGA-PBE, the Alexandria database).

CIF file:
```
data_Ac3In2Si2Pd4
_symmetry_space_group_name_H-M 'P -3 m 1'
_symmetry_Int_Tables_number 164
_symmetry_space_group_name_Hall '-P 3 2"'
_cell_length_a 4.5042
_cell_length_b 4.5042
_cell_length_c 15.5389
_cell_angle_alpha 90.00
_cell_angle_beta 90.00
_cell_angle_gamma 120.00
loop_
_atom_site_label
_atom_site_type_symbol
_atom_site_fract_x
_atom_site_fract_y
_atom_site_fract_z
Ac1 Ac 0.0000 0.0000 0.0000
Ac2 Ac 0.0000 0.0000 0.2660
In1 In 0.3333 0.6667 0.5599
Si1 Si 0.3333 0.6667 0.1413
Pd1 Pd 0.3333 0.6667 0.3809
Pd2 Pd 0.3333 0.6667 0.8667
```

## Properties
- ΔE_f (raw): -0.721 eV per atom
- Calculated total energy: -57.3 eV/cell
- Total magnetic moment: 0.00 Bohr magnetons per cell



# 8
# YNi2Os

A geometry-optimized YNi2Os structure (GGA-PBE, the Alexandria database).

CIF file:
```
data_YNi2Os
_symmetry_space_group_name_H-M 'I 4/m m m'
_symmetry_Int_Tables_number 139
_symmetry_space_group_name_Hall '-I 4 2'
_cell_length_a 4.0983
_cell_length_b 4.0983
_cell_length_c 7.3142
_cell_angle_alpha 90.00
_cell_angle_beta 90.00
_cell_angle_gamma 90.00
loop_
_atom_site_label
_atom_site_type_symbol
_atom_site_fract_x
_atom_site_fract_y
_atom_site_fract_z
Y1 Y 0.0000 0.0000 0.0000
Ni1 Ni 0.0000 0.5000 0.2500
Os1 Os 0.0000 0.0000 0.5000
```

## Properties
- Calculated total energy: -57.6 eV/cell
- Total magnetic moment: 0.63 Bohr magnetons per cell
- DFT formation energy: 113 meV/atom
- Energy relative to the lowest polymorph listed for this composition: 1.04 eV per formula unit